1.
Ta2MoC: single point on PBEsol structure, SCAN.

Values from the calculation:
Crystal system = trigonal
Symmetry = R3m (160)
Formation energy = -17.4 kJ per mole of atoms

```
Ta2MoC
1.0
1.5215 0.8785 7.1311
-1.5215 0.8785 7.1311
0.0000 -1.7569 7.1311
Ta Mo C
2 1 1
Direct
0.0000 0.0000 0.0000
0.2221 0.2221 0.2221
0.4468 0.4468 0.4468
0.7259 0.7259 0.7259
```

2.
TaMo2C: single point on PBEsol structure, SCAN.

Values from the calculation:
Crystal system = tetragonal
Symmetry = P4/mmm (123)
Formation energy = 35.4 kJ per mole of atoms

```
TaMo2C
1.0
2.7059 0.0000 0.0000
0.0000 2.7059 0.0000
0.0000 0.0000 7.2984
Ta Mo C
1 2 1
Direct
0.0000 0.0000 0.0000
0.5000 0.5000 0.3259
0.5000 0.5000 0.6741
0.0000 0.0000 0.5000
```

3.
TaMoC: single point on PBEsol structure, SCAN.

Values from the calculation:
Distance to the lowest polymorph of the same formula = 0 meV/atom
Crystal system = trigonal
Symmetry = P3m1 (156)
Formation energy = -33.9 kJ per mole of atoms

```
TaMoC
1.0
3.0777 0.0000 0.0000
-1.5389 2.6654 0.0000
0.0000 0.0000 4.7244
Ta Mo C
1 1 1
Direct
0.0000 0.0000 0.0000
0.6667 0.3333 0.4983
0.3333 0.6667 0.7386
```

4.
TaMoC: single point on PBEsol structure, SCAN.

Values from the calculation:
Distance to the lowest polymorph of the same formula = 640 meV/atom
Crystal system = tetragonal
Symmetry = I4mm (107)
Formation energy = 27.8 kJ per mole of atoms

```
TaMoC
1.0
-1.3782 1.3782 4.9252
1.3782 -1.3782 4.9252
1.3782 1.3782 -4.9252
Ta Mo C
1 1 1
Direct
0.0000 0.0000 0.0000
0.2621 0.2621 0.0000
0.6469 0.6469 0.0000
```

5.
Ta2MoC: single point on PBEsol structure, SCAN.

Values from the calculation:
Crystal system = orthorhombic
Symmetry = Imm2 (44)
Formation energy = 23.9 kJ per mole of atoms

```
Ta2MoC
1.0
-1.4382 2.3728 4.2141
1.4382 -2.3728 4.2141
1.4382 2.3728 -4.2141
Ta Mo C
2 1 1
Direct
0.0000 0.0000 0.0000
0.6859 0.1859 0.5000
0.3638 0.3638 0.0000
0.1871 0.6871 0.5000
```

6.
Ta2MoC: single point on PBEsol structure, SCAN.

Values from the calculation:
Crystal system = cubic
Symmetry = F-43m (216)
Formation energy = 115.4 kJ per mole of atoms

```
Ta2MoC
1.0
0.0000 3.0533 3.0533
3.0533 0.0000 3.0533
3.0533 3.0533 0.0000
Ta Mo C
2 1 1
Direct
0.0000 0.0000 0.0000
0.2500 0.2500 0.2500
0.5000 0.5000 0.5000
0.7500 0.7500 0.7500
```

7.
TaMoC: single point on PBEsol structure, SCAN.

Values from the calculation:
Distance to the lowest polymorph of the same formula = 870 meV/atom
Crystal system = cubic
Symmetry = F-43m (216)
Formation energy = 50.1 kJ per mole of atoms

```
TaMoC
1.0
0.0000 2.6915 2.6915
2.6915 0.0000 2.6915
2.6915 2.6915 0.0000
Ta Mo C
1 1 1
Direct
0.0000 0.0000 0.0000
0.5000 0.5000 0.5000
0.2500 0.2500 0.2500
```

8.
TeMo2C: single point on PBEsol structure, SCAN.

Values from the calculation:
Crystal system = cubic
Symmetry = Fm-3m (225)
Formation energy without anion corrections = 4.9 eV/f.u.

```
TeMo2C
1.0
0.0000 3.0535 3.0535
3.0535 0.0000 3.0535
3.0535 3.0535 0.0000
Te Mo C
1 2 1
Direct
0.0000 0.0000 0.0000
0.2500 0.2500 0.2500
0.7500 0.7500 0.7500
0.5000 0.5000 0.5000
```

no.,raw total energy (eV per cell)
1,-178.9
2,-145.0
3,-112.6
4,-110.7
5,-177.2
6,-173.4
7,-110.0
8,-112.2